No. 1
The following is a PBE calculation of LaPm3Dy6 after structural relaxation, from Alexandria via LeMat-Bulk.

```
LaPm3Dy6
1.0
-6.9381 6.8239 2.0936
-3.1350 1.1975 9.3714
-0.5729 5.3232 4.4147
Pm Dy La
3 6 1
Cartesian
-6.5592 5.4962 7.6766
-4.4828 7.4716 8.1188
-1.8312 4.1261 4.1467
-2.2354 5.2457 7.4369
-4.5832 4.2312 10.2365
-5.7269 9.2929 5.7510
-8.2112 8.4192 8.5626
-5.5102 7.8536 11.1634
-4.8566 5.7663 4.6623
-9.2335 8.8202 11.6438
```

Results
The symmetry is No. 146. The energy of formation from the pure elements comes out at 2.83 eV/f.u.

No. 2
The following is a PBE calculation of La2Pm5Dy12 after structural relaxation, from Alexandria via LeMat-Bulk.

```
La2Pm5Dy12
1.0
6.7252 0.7693 0.2284
-2.8133 9.4928 -6.4072
0.3019 -2.5472 11.2758
La Dy Pm
2 12 5
Cartesian
0.1984 1.8445 1.1264
4.0154 5.8704 3.9707
-1.6248 7.9098 -4.3597
4.1416 5.5913 -1.7801
5.2721 2.2899 4.2102
0.0722 2.1236 6.8772
2.0946 1.1765 4.0052
-1.0583 5.4251 0.8869
5.8386 -0.1949 9.4568
3.0959 3.6961 6.4529
1.5787 9.4659 -4.7758
1.1179 4.0188 -1.3558
2.1192 6.5384 1.0919
2.6351 -1.7510 9.8729
0.8346 7.3456 -1.9885
3.3792 0.3693 7.0856
0.1510 -1.2736 5.6379
0.7489 4.3658 3.8942
3.4649 3.3491 1.2029
```

Results
The symmetry is No. 2. The energy of formation from the pure elements comes out at 1.63 eV/f.u.

No. 3
The following is a PBE calculation of La3Pm5Dy4 after structural relaxation, from Alexandria via LeMat-Bulk.

```
La3Pm5Dy4
1.0
-0.2612 5.6957 1.3654
-2.3642 4.8301 -8.0136
-6.4725 1.0007 7.1750
La Pm Dy
3 5 4
Cartesian
-4.4184 2.9154 -0.4193
-5.5527 5.0592 3.0085
-3.5453 6.4674 -2.4817
-7.8929 8.2589 1.8009
-2.6908 2.2761 2.5781
-6.4072 9.2504 -2.0513
-4.5490 5.7633 0.2634
-1.2051 3.2677 -1.2741
-2.7294 4.0513 -4.8347
-1.7940 5.5991 1.4752
-6.3686 7.4752 5.3615
-7.3039 5.9274 -0.9484
```

Results
The symmetry is No. 12. The energy of formation from the pure elements comes out at 2.86 eV/f.u.

No. 4
The following is a PBE calculation of LaPm5Dy after structural relaxation, from Alexandria via LeMat-Bulk.

```
LaPm5Dy
1.0
5.7821 -0.9520 0.9249
0.8780 7.1179 1.8575
-1.1225 0.2734 7.3179
Pm La Dy
5 1 1
Cartesian
-0.1610 5.5178 6.8576
2.8910 -0.4760 0.4624
-0.4927 2.4281 5.5989
6.0303 4.0111 4.5013
5.6985 0.9214 3.2426
0.0000 0.0000 0.0000
2.7688 3.2196 5.0501
```

Results
The symmetry is No. 12. The energy of formation from the pure elements comes out at 6.23 eV/f.u.

No. 5
The following is a PBE calculation of La3PmDy after structural relaxation, from Alexandria via LeMat-Bulk.

```
La3PmDy
1.0
-2.7249 5.7488 -4.7061
-0.6892 -4.4254 -5.0068
-5.0348 -4.2151 4.4194
Dy La Pm
2 6 2
Cartesian
-3.6633 1.3218 -2.9175
-4.7856 -4.2135 -2.3761
-5.8443 -1.0222 -0.5444
-5.7285 -1.2513 -4.8648
-4.7468 -3.3376 1.3510
-2.6046 -1.8695 -4.7492
-3.7021 0.4459 -6.6446
-2.7204 -1.6404 -0.4287
0.0000 0.0000 0.0000
-0.3446 -2.2127 -2.5034
```

Results
The symmetry is No. 194. The energy of formation from the pure elements comes out at 1.39 eV/f.u.

No. 6
The following is a PBE calculation of La3PmDy8 after structural relaxation, from Alexandria via LeMat-Bulk.

```
La3PmDy8
1.0
7.6218 -0.4062 -3.5628
-4.4329 7.0464 -1.2838
-0.2555 0.4062 8.4095
Pm La Dy
1 3 8
Cartesian
0.0000 0.0000 0.0000
0.4223 5.1832 -0.6419
2.5110 1.8631 4.2048
-2.3442 3.7263 3.5628
-1.3058 2.0757 6.0065
-3.4004 5.4052 1.1462
2.6403 1.6412 -0.0136
-4.0380 6.4187 4.1554
0.3109 5.3768 3.5493
0.1375 2.6745 1.7728
5.1514 0.6277 -1.7900
-3.0059 4.7781 6.5503
```

Results
The symmetry is No. 121. The energy of formation from the pure elements comes out at 7.14 eV/f.u.

No. 7
The following is a PBE calculation of La9PmDy2 after structural relaxation, from Alexandria via LeMat-Bulk.

```
La9PmDy2
1.0
-0.4170 4.9501 -1.5820
-4.4045 -1.1789 -2.5279
-8.2820 3.4064 12.8419
La Dy Pm
9 2 1
Cartesian
-9.0939 2.2450 9.4220
-4.3495 4.1782 5.6300
-7.1001 5.3095 9.8950
-6.3433 1.1137 5.1570
-1.5989 3.0469 1.3649
-3.5927 -0.0176 0.8920
-2.4108 1.8856 -2.0549
-7.9273 4.1545 6.4989
-5.1762 3.0230 2.2332
-2.7669 1.1380 4.2903
-5.5151 2.2683 8.5516
0.0000 0.0000 0.0000
```

Results
The symmetry is No. 123. The energy of formation from the pure elements comes out at 0.09 eV/f.u.

No. 8
The following is a PBE calculation of La8PmDy2 after structural relaxation, from Alexandria via LeMat-Bulk.

```
La8PmDy2
1.0
5.0489 0.0000 -1.4360
-0.4701 8.0721 -1.6528
0.0348 -0.5437 9.7161
La Dy Pm
8 2 1
Cartesian
1.5852 0.3624 5.5734
-0.1018 5.8106 -0.3579
4.7154 1.7178 6.9852
3.9945 6.1721 4.4504
1.8308 3.9584 6.4370
2.7828 3.5700 0.1903
3.0284 7.1660 1.0538
0.6191 1.3563 2.1768
3.7516 2.6550 3.5966
0.8620 4.8734 3.0307
2.5245 0.0000 -0.7180
```

Results
The symmetry is No. 12. The energy of formation from the pure elements comes out at 0.21 eV/f.u.